Computed, not measured: a PBEsol-optimized structure of K5Pb24 at the SCAN level of DFT.

The spin magnetization is 0.0 μB per formula unit. The calculation puts the energy at -64.34 eV per atom. As for the density of states at the Fermi level: 0.16 states/eV/atom. As for the formation energy: -185 meV per atom. The volume is 31.56 A^3/atom.

It has space group I-43m (No. 217), with a = 12.233 Å, b = 12.233 Å, c = 12.233 Å, α = 90.00°, β = 90.00° and γ = 90.00°. Symmetry generates all atoms from K at (0.000, 0.000, 0.000), K at (0.180, 0.180, 0.180), Pb at (0.042, 0.360, 0.640) and Pb at (0.096, 0.096, 0.706).


Computed, not measured: a PBEsol-optimized structure of K4Pb at the SCAN level of DFT.

The spin magnetization is 0.0 μB per formula unit. The calculation puts the energy at -21.93 eV per atom. As for the density of states at the Fermi level: 0.33 states/eV/atom. As for the formation energy: -112 meV per atom. The volume is 58.15 A^3/atom.

It has space group Im-3m (No. 229), with a = 8.347 Å, b = 8.347 Å, c = 8.347 Å, α = 90.00°, β = 90.00° and γ = 90.00°. Symmetry generates all atoms from K at (0.250, 0.250, 0.250) and Pb at (0.000, 0.000, 0.000).


Computed, not measured: a PBEsol-optimized structure of K3Pb at the SCAN level of DFT.

The spin magnetization is 1.1 μB per formula unit. The calculation puts the energy at -25.34 eV per atom. As for the density of states at the Fermi level: 0.88 states/eV/atom. As for the formation energy: -152 meV per atom. The volume is 42.15 A^3/atom.

It has space group Fm-3m (No. 225), with a = 8.769 Å, b = 8.769 Å, c = 8.769 Å, α = 90.00°, β = 90.00° and γ = 90.00°. Symmetry generates all atoms from K at (0.000, 0.000, 0.000), K at (0.250, 0.250, 0.250) and Pb at (0.000, 0.000, 0.500).


Computed, not measured: a PBEsol-optimized structure of K8Pb at the SCAN level of DFT.

The spin magnetization is 0.2 μB per formula unit. The calculation puts the energy at -15.86 eV per atom. As for the density of states at the Fermi level: 0.76 states/eV/atom. As for the formation energy: -39 meV per atom. The volume is 56.57 A^3/atom.

It has space group I4/mmm (No. 139), with a = 12.741 Å, b = 12.741 Å, c = 6.272 Å, α = 90.00°, β = 90.00° and γ = 90.00°. Symmetry generates all atoms from K at (0.000, 0.306, 0.000), K at (0.147, 0.147, 0.500) and Pb at (0.000, 0.000, 0.000).


Computed, not measured: a PBEsol-optimized structure of K3Pb at the SCAN level of DFT.

The spin magnetization is 1.0 μB per formula unit. The calculation puts the energy at -25.36 eV per atom. As for the density of states at the Fermi level: 0.73 states/eV/atom. As for the formation energy: -173 meV per atom. The volume is 46.58 A^3/atom.

It has space group Pnma (No. 62), with a = 10.732 Å, b = 11.166 Å, c = 6.220 Å, α = 90.00°, β = 90.00° and γ = 90.00°. Symmetry generates all atoms from K at (0.001, 0.250, 0.000), K at (0.167, 0.078, 0.500) and Pb at (0.166, 0.750, 0.499).


Computed, not measured: a PBEsol-optimized structure of K3Pb at the SCAN level of DFT.

The spin magnetization is 0.0 μB per formula unit. The calculation puts the energy at -25.34 eV per atom. As for the density of states at the Fermi level: 0.90 states/eV/atom. As for the formation energy: -147 meV per atom. The volume is 42.17 A^3/atom.

It has space group Immm (No. 71), with a = 5.281 Å, b = 5.835 Å, c = 10.949 Å, α = 90.00°, β = 90.00° and γ = 90.00°. Symmetry generates all atoms from K at (0.000, 0.000, 0.000), K at (0.000, 0.500, 0.246) and Pb at (0.000, 0.000, 0.500).


Computed, not measured: a PBEsol-optimized structure of KPd2Pb2 at the SCAN level of DFT.

The spin magnetization is 0.0 μB per formula unit. The calculation puts the energy at -45.29 eV per atom. As for the density of states at the Fermi level: 0.45 states/eV/atom. As for the formation energy: -202 meV per atom. The volume is 22.40 A^3/atom.

It has space group P4/mbm (No. 127), with a = 8.302 Å, b = 8.302 Å, c = 3.251 Å, α = 90.00°, β = 90.00° and γ = 90.00°. Symmetry generates all atoms from K at (0.000, 0.000, 0.000), Pd at (0.133, 0.367, 0.000) and Pb at (0.153, 0.653, 0.500).


Computed, not measured: a PBEsol-optimized structure of K3PdPb at the SCAN level of DFT.

The spin magnetization is 0.7 μB per formula unit. The calculation puts the energy at -26.12 eV per atom. As for the density of states at the Fermi level: 1.34 states/eV/atom. As for the formation energy: 592 meV per atom. The volume is 55.12 A^3/atom.

It has space group Pm-3m (No. 221), with a = 6.508 Å, b = 6.508 Å, c = 6.508 Å, α = 90.00°, β = 90.00° and γ = 90.00°. Symmetry generates all atoms from K at (0.000, 0.000, 0.500), Pd at (0.500, 0.500, 0.500) and Pb at (0.000, 0.000, 0.000).


> What is the formula in the fifth record?

K3Pb